Computed, not measured: a relaxed Ba2YBPb crystal at the PBE level of DFT.

Unit cell a=7.009 b=7.009 c=4.286 alpha=90.00 beta=90.00 gamma=90.00
Positions (direct):
Ba 0.000 0.500 0.000
Ba 0.500 0.000 0.000
Y 0.000 0.000 0.500
B 0.500 0.500 0.500
Pb 0.500 0.500 0.000

Summary:
Volume ... 210.5 Å³/f.u.
Energy of formation ... 0.859 eV per atom

***

Computed, not measured: a relaxed BaBPd crystal at the PBE level of DFT.

Unit cell a=4.212 b=6.053 c=6.321 alpha=66.67 beta=71.81 gamma=78.17
Positions (direct):
Ba 0.168 0.315 0.314
Ba 0.832 0.685 0.686
B 0.115 0.904 0.094
B 0.885 0.096 0.906
Pd 0.417 0.182 0.808
Pd 0.583 0.818 0.192

Summary:
Volume ... 70.0 Å³/f.u.
Energy of formation ... -0.212 eV per atom

***

Computed, not measured: a relaxed BaB2Pd crystal at the PBE level of DFT.

Unit cell a=6.515 b=6.515 c=6.515 alpha=90.00 beta=90.00 gamma=90.00
Positions (direct):
Ba 0.000 0.000 0.000
Ba 0.000 0.500 0.500
Ba 0.500 0.000 0.500
Ba 0.500 0.500 0.000
B 0.250 0.250 0.250
B 0.250 0.250 0.750
B 0.250 0.750 0.250
B 0.250 0.750 0.750
B 0.750 0.250 0.250
B 0.750 0.250 0.750
B 0.750 0.750 0.250
B 0.750 0.750 0.750
Pd 0.000 0.000 0.500
Pd 0.000 0.500 0.000
Pd 0.500 0.000 0.000
Pd 0.500 0.500 0.500

Summary:
Energy above the lowest structure with this stoichiometry ... 0.964 eV/atom
Volume ... 69.1 Å³/f.u.
Energy of formation ... 1.173 eV per atom

***

Computed, not measured: a relaxed Ba3BPd crystal at the PBE level of DFT.

Unit cell a=5.791 b=5.791 c=5.791 alpha=90.00 beta=90.00 gamma=90.00
Positions (direct):
Ba 0.000 0.000 0.500
Ba 0.000 0.500 0.000
Ba 0.500 0.000 0.000
B 0.000 0.000 0.000
Pd 0.500 0.500 0.500

Summary:
Energy above the lowest structure with this stoichiometry ... 0.000 eV/atom
Volume ... 194.2 Å³/f.u.
Energy of formation ... 0.365 eV per atom

***

Computed, not measured: a relaxed BaB2Pd crystal at the PBE level of DFT.

Unit cell a=5.153 b=5.153 c=12.331 alpha=90.00 beta=90.00 gamma=90.00
Positions (direct):
Ba 0.000 0.250 0.375
Ba 0.000 0.750 0.625
Ba 0.500 0.250 0.125
Ba 0.500 0.750 0.875
B 0.000 0.000 0.000
B 0.000 0.500 0.000
B 0.250 0.250 0.750
B 0.250 0.750 0.250
B 0.500 0.000 0.500
B 0.500 0.500 0.500
B 0.750 0.250 0.750
B 0.750 0.750 0.250
Pd 0.000 0.250 0.875
Pd 0.000 0.750 0.125
Pd 0.500 0.250 0.625
Pd 0.500 0.750 0.375

Summary:
Energy above the lowest structure with this stoichiometry ... 0.000 eV/atom
Volume ... 81.9 Å³/f.u.
Energy of formation ... 0.209 eV per atom

***

Computed, not measured: a relaxed BaBPd4 crystal at the PBE level of DFT.

Unit cell a=6.194 b=5.703 c=12.192 alpha=90.00 beta=90.00 gamma=90.00
Positions (direct):
Ba 0.185 0.250 0.164
Ba 0.315 0.750 0.664
Ba 0.685 0.250 0.336
Ba 0.815 0.750 0.836
B 0.097 0.250 0.551
B 0.403 0.750 0.051
B 0.597 0.250 0.949
B 0.903 0.750 0.449
Pd 0.064 0.750 0.060
Pd 0.108 0.250 0.732
Pd 0.165 0.506 0.419
Pd 0.165 0.994 0.419
Pd 0.335 0.006 0.919
Pd 0.335 0.494 0.919
Pd 0.392 0.750 0.232
Pd 0.436 0.250 0.560
Pd 0.564 0.750 0.440
Pd 0.608 0.250 0.768
Pd 0.665 0.506 0.081
Pd 0.665 0.994 0.081
Pd 0.835 0.006 0.581
Pd 0.835 0.494 0.581
Pd 0.892 0.750 0.268
Pd 0.936 0.250 0.940

Summary:
Volume ... 107.7 Å³/f.u.
Energy of formation ... -0.476 eV per atom

***

Computed, not measured: a relaxed Ba2BPd5 crystal at the PBE level of DFT.

Unit cell a=5.936 b=5.936 c=9.796 alpha=90.00 beta=90.00 gamma=90.00
Positions (direct):
Ba 0.000 0.500 0.000
Ba 0.000 0.500 0.500
Ba 0.500 0.000 0.000
Ba 0.500 0.000 0.500
B 0.000 0.000 0.292
B 0.500 0.500 0.792
Pd 0.000 0.000 0.534
Pd 0.250 0.250 0.252
Pd 0.250 0.250 0.752
Pd 0.250 0.750 0.252
Pd 0.250 0.750 0.752
Pd 0.500 0.500 0.034
Pd 0.750 0.250 0.252
Pd 0.750 0.250 0.752
Pd 0.750 0.750 0.252
Pd 0.750 0.750 0.752

Summary:
Volume ... 172.6 Å³/f.u.
Energy of formation ... -0.369 eV per atom

***

Computed, not measured: a relaxed BaB2PdRh crystal at the PBE level of DFT.

Unit cell a=4.112 b=4.112 c=5.500 alpha=90.00 beta=90.00 gamma=90.00
Positions (direct):
Ba 0.000 0.000 0.000
B 0.000 0.500 0.500
B 0.500 0.000 0.500
Pd 0.500 0.500 0.500
Rh 0.500 0.500 0.000

Summary:
Volume ... 93.0 Å³/f.u.
Energy of formation ... 0.652 eV per atom

***

Computed, not measured: a relaxed BaBPdRh2 crystal at the PBE level of DFT.

Unit cell a=4.357 b=4.357 c=4.484 alpha=90.00 beta=90.00 gamma=90.00
Positions (direct):
Ba 0.000 0.000 0.000
B 0.500 0.500 0.500
Pd 0.500 0.500 0.000
Rh 0.000 0.500 0.500
Rh 0.500 0.000 0.500

Summary:
Volume ... 85.1 Å³/f.u.
Energy of formation ... -0.223 eV per atom

***

Computed, not measured: a relaxed Ba2BSbPd6 crystal at the PBE level of DFT.

Unit cell a=6.133 b=6.139 c=7.381 alpha=114.57 beta=90.05 gamma=119.83
Positions (direct):
Ba 0.223 0.447 0.170
Ba 0.777 0.553 0.830
B 0.000 0.000 0.500
Sb 0.500 0.000 0.000
Pd 0.229 0.458 0.666
Pd 0.229 0.937 0.666
Pd 0.294 0.064 0.335
Pd 0.706 0.936 0.665
Pd 0.771 0.063 0.334
Pd 0.771 0.542 0.334

Summary:
Formation energy from raw total energies ... -0.56 eV/atom
Volume ... 211.5 Å³/f.u.

***

Computed, not measured: a relaxed Ba2B2PdSe6 crystal at the PBE level of DFT.

Unit cell a=7.963 b=7.963 c=7.963 alpha=50.96 beta=50.96 gamma=50.96
Positions (direct):
Ba 0.235 0.235 0.235
Ba 0.765 0.765 0.765
B 0.410 0.410 0.410
B 0.590 0.590 0.590
Pd 0.000 0.000 0.000
Se 0.251 0.748 0.748
Se 0.252 0.252 0.749
Se 0.252 0.749 0.252
Se 0.748 0.251 0.748
Se 0.748 0.748 0.251
Se 0.749 0.252 0.252

Summary:
Formation energy from raw total energies ... -0.75 eV/atom
Volume ... 280.9 Å³/f.u.

***

Computed, not measured: a relaxed BaSiBPd6 crystal at the PBE level of DFT.

Unit cell a=7.961 b=7.961 c=7.961 alpha=123.58 beta=117.82 gamma=88.86
Positions (direct):
Ba 0.407 0.157 0.250
Ba 0.593 0.843 0.750
Si 0.000 0.000 0.500
Si 0.000 0.500 0.000
B 0.000 0.500 0.500
B 0.500 0.500 0.000
Pd 0.091 0.420 0.265
Pd 0.091 0.825 0.670
Pd 0.121 0.871 0.250
Pd 0.299 0.549 0.750
Pd 0.345 0.175 0.765
Pd 0.345 0.580 0.170
Pd 0.655 0.420 0.830
Pd 0.655 0.825 0.235
Pd 0.701 0.451 0.250
Pd 0.879 0.129 0.750
Pd 0.909 0.175 0.330
Pd 0.909 0.580 0.735

Summary:
Formation energy from raw total energies ... -0.38 eV/atom
Volume ... 175.9 Å³/f.u.

***

Computed, not measured: a relaxed Ba2SiBPd6 crystal at the PBE level of DFT.

Unit cell a=6.127 b=6.127 c=7.002 alpha=116.09 beta=116.09 gamma=59.96
Positions (direct):
Ba 0.219 0.219 0.158
Ba 0.781 0.781 0.842
Si 0.500 0.500 0.000
B 0.000 0.000 0.500
Pd 0.238 0.700 0.676
Pd 0.239 0.239 0.676
Pd 0.300 0.762 0.324
Pd 0.700 0.238 0.676
Pd 0.761 0.761 0.324
Pd 0.762 0.300 0.324

Summary:
Formation energy from raw total energies ... -0.54 eV/atom
Volume ... 196.0 Å³/f.u.

***

Computed, not measured: a relaxed BaTlB2Pd crystal at the PBE level of DFT.

Unit cell a=4.878 b=4.878 c=6.342 alpha=90.00 beta=90.00 gamma=90.00
Positions (direct):
Ba 0.000 0.000 0.000
Tl 0.000 0.000 0.500
B 0.000 0.500 0.000
B 0.500 0.000 0.000
Pd 0.500 0.500 0.500

Summary:
Volume ... 150.9 Å³/f.u.
Energy of formation ... 2.276 eV per atom

***

Computed, not measured: a relaxed Ba2ZnBPd6 crystal at the PBE level of DFT.

Unit cell a=6.013 b=6.013 c=7.307 alpha=114.32 beta=114.32 gamma=60.05
Positions (direct):
Ba 0.221 0.221 0.162
Ba 0.779 0.779 0.838
Zn 0.500 0.500 0.000
B 0.000 0.000 0.500
Pd 0.233 0.233 0.672
Pd 0.233 0.705 0.671
Pd 0.295 0.767 0.329
Pd 0.705 0.233 0.671
Pd 0.767 0.295 0.329
Pd 0.767 0.767 0.328

Summary:
Volume ... 201.3 Å³/f.u.
Energy of formation ... -0.497 eV per atom

***

Computed, not measured: a relaxed BaPmBS4 crystal at the PBE level of DFT.

Unit cell a=6.180 b=6.464 c=8.500 alpha=90.00 beta=108.44 gamma=90.00
Positions (direct):
Ba 0.209 0.250 0.423
Ba 0.791 0.750 0.577
Pm 0.277 0.250 0.952
Pm 0.723 0.750 0.048
B 0.294 0.750 0.191
B 0.706 0.250 0.809
S 0.104 0.750 0.337
S 0.124 0.750 0.954
S 0.492 0.510 0.235
S 0.492 0.990 0.235
S 0.508 0.010 0.765
S 0.508 0.490 0.765
S 0.876 0.250 0.046
S 0.896 0.250 0.663

Summary:
Formation energy from raw total energies ... -1.54 eV/atom
Volume ... 161.1 Å³/f.u.

***

Computed, not measured: a relaxed Ba2PmB2S6 crystal at the PBE level of DFT.

Unit cell a=6.649 b=6.649 c=8.179 alpha=115.30 beta=115.30 gamma=59.27
Positions (direct):
Ba 0.210 0.210 0.207
Ba 0.790 0.790 0.793
Pm 0.000 0.000 0.500
B 0.451 0.451 0.743
B 0.549 0.549 0.257
S 0.217 0.697 0.197
S 0.270 0.270 0.643
S 0.303 0.783 0.803
S 0.697 0.217 0.197
S 0.730 0.730 0.357
S 0.783 0.303 0.803

Summary:
Formation energy from raw total energies ... -1.31 eV/atom
Volume ... 270.6 Å³/f.u.

***

Computed, not measured: a relaxed BaPmBSe4 crystal at the PBE level of DFT.

Unit cell a=6.550 b=6.770 c=8.788 alpha=90.00 beta=108.08 gamma=90.00
Positions (direct):
Ba 0.217 0.250 0.427
Ba 0.783 0.750 0.573
Pm 0.271 0.250 0.948
Pm 0.729 0.750 0.052
B 0.291 0.750 0.189
B 0.709 0.250 0.811
Se 0.103 0.750 0.345
Se 0.115 0.750 0.945
Se 0.493 0.506 0.233
Se 0.493 0.994 0.233
Se 0.507 0.006 0.767
Se 0.507 0.494 0.767
Se 0.885 0.250 0.055
Se 0.897 0.250 0.655

Summary:
Formation energy from raw total energies ... -1.32 eV/atom
Volume ... 185.2 Å³/f.u.

***

Computed, not measured: a relaxed BaPrBS4 crystal at the PBE level of DFT.

Unit cell a=6.191 b=6.487 c=8.576 alpha=90.00 beta=108.50 gamma=90.00
Positions (direct):
Ba 0.205 0.250 0.422
Ba 0.795 0.750 0.578
Pr 0.280 0.250 0.954
Pr 0.720 0.750 0.046
B 0.297 0.750 0.196
B 0.703 0.250 0.804
S 0.104 0.750 0.337
S 0.135 0.750 0.958
S 0.494 0.510 0.241
S 0.494 0.990 0.241
S 0.506 0.010 0.759
S 0.506 0.490 0.759
S 0.865 0.250 0.042
S 0.896 0.250 0.663

Summary:
Formation energy from raw total energies ... -1.54 eV/atom
Volume ... 163.3 Å³/f.u.

***

Computed, not measured: a relaxed BaB4Pt6 crystal at the PBE level of DFT.

Unit cell a=6.272 b=6.272 c=5.291 alpha=90.00 beta=90.00 gamma=120.00
Positions (direct):
Ba 0.000 0.000 0.000
B 0.333 0.667 0.079
B 0.333 0.667 0.424
B 0.667 0.333 0.576
B 0.667 0.333 0.921
Pt 0.037 0.519 0.749
Pt 0.481 0.519 0.749
Pt 0.481 0.963 0.749
Pt 0.519 0.037 0.251
Pt 0.519 0.481 0.251
Pt 0.963 0.481 0.251

Summary:
Volume ... 180.2 Å³/f.u.
Energy of formation ... -0.441 eV per atom